one:
Crystalline Tc2Te2O5 at its relaxed geometry. Source: the Open Quantum Materials Database, functional PBE-GGA.

Computed properties:
- Space group: P4/mmm
- Size of the total moment: 0.000 μB per atom

a b c (Å): 8.830 3.419 3.419
angles (deg): 90.00 90.00 90.00
Fractional positions:
1 O 0.659 0.500 0.000
2 O 0.341 0.500 0.000
3 O 0.341 0.000 0.500
4 O 0.659 0.000 0.500
5 O 0.500 0.500 0.500
6 Tc 0.000 0.000 0.000
7 Tc 0.500 0.000 0.000
8 Te 0.815 0.500 0.500
9 Te 0.185 0.500 0.500

***

two:
Crystalline Tc2Te2O5 at its relaxed geometry. Source: the Open Quantum Materials Database, functional PBE-GGA.

Computed properties:
- Space group: P4/mmm
- Size of the total moment: 0.000 μB per atom

a b c (Å): 7.668 3.733 3.733
angles (deg): 90.00 90.00 90.00
Fractional positions:
1 Te 0.000 0.000 0.000
2 Te 0.500 0.000 0.000
3 O 0.709 0.000 0.500
4 O 0.500 0.500 0.500
5 O 0.291 0.000 0.500
6 O 0.291 0.500 0.000
7 O 0.709 0.500 0.000
8 Tc 0.806 0.500 0.500
9 Tc 0.194 0.500 0.500

***

Energy comparison, zero being the most stable, in eV/atom: one 0.532; two 0.000.

***

one:
Crystalline Y2Tm2O5 at its relaxed geometry. Source: the Open Quantum Materials Database, functional PBE-GGA.

Computed properties:
- Space group: P4/mmm
- Size of the total moment: 0.126 μB per atom

a b c (Å): 9.545 3.853 3.853
angles (deg): 90.00 90.00 90.00
Fractional positions:
1 Y 0.760 0.500 0.500
2 Y 0.240 0.500 0.500
3 O 0.860 0.000 0.500
4 O 0.140 0.000 0.500
5 O 0.140 0.500 0.000
6 O 0.500 0.500 0.500
7 O 0.860 0.500 0.000
8 Tm 0.000 0.000 0.000
9 Tm 0.500 0.000 0.000

***

two:
Crystalline Y2Tm2O5 at its relaxed geometry. Source: the Open Quantum Materials Database, functional PBE-GGA.

Computed properties:
- Space group: P4/mmm
- Size of the total moment: 0.175 μB per atom

a b c (Å): 9.263 3.869 3.869
angles (deg): 90.00 90.00 90.00
Fractional positions:
1 Y 0.500 0.000 0.000
2 Y 0.000 0.000 0.000
3 Tm 0.244 0.500 0.500
4 Tm 0.756 0.500 0.500
5 O 0.851 0.500 0.000
6 O 0.851 0.000 0.500
7 O 0.149 0.500 0.000
8 O 0.149 0.000 0.500
9 O 0.500 0.500 0.500

***

Energy comparison, zero being the most stable, in eV/atom: one 0.076; two 0.000.

***

one:
Crystalline Y2Zr30O63 at its relaxed geometry. Source: the Open Quantum Materials Database, functional PBE-GGA.

Computed properties:
- Space group: P1
- Size of the total moment: 0.000 μB per atom

a b c (Å): 10.260 10.262 10.414
angles (deg): 89.98 89.84 89.55
Fractional positions:
1 O 0.883 0.369 0.362
2 O 0.868 0.617 0.642
3 O 0.123 0.372 0.899
4 O 0.876 0.368 0.607
5 O 0.124 0.126 0.353
6 O 0.127 0.369 0.150
7 O 0.623 0.123 0.853
8 O 0.376 0.613 0.898
9 O 0.381 0.129 0.642
10 O 0.130 0.879 0.393
11 O 0.882 0.117 0.651
12 O 0.882 0.127 0.149
13 O 0.129 0.128 0.602
14 O 0.372 0.882 0.600
15 O 0.623 0.372 0.893
16 O 0.882 0.876 0.352
17 O 0.130 0.645 0.856
18 O 0.116 0.628 0.601
19 O 0.122 0.869 0.123
20 O 0.377 0.873 0.353
21 O 0.377 0.372 0.352
22 O 0.377 0.629 0.148
23 O 0.125 0.630 0.351
24 O 0.622 0.126 0.353
25 O 0.325 0.866 0.861
26 O 0.630 0.879 0.642
27 O 0.633 0.123 0.103
28 O 0.123 0.377 0.651
29 O 0.374 0.120 0.894
30 O 0.624 0.629 0.107
31 O 0.627 0.878 0.899
32 O 0.132 0.612 0.104
33 O 0.878 0.376 0.102
34 O 0.883 0.635 0.136
35 O 0.370 0.621 0.395
36 O 0.132 0.121 0.104
37 O 0.878 0.628 0.396
38 O 0.876 0.868 0.601
39 O 0.624 0.374 0.399
40 O 0.620 0.371 0.140
41 O 0.865 0.884 0.104
42 O 0.901 0.884 0.856
43 O 0.116 0.103 0.855
44 O 0.377 0.878 0.104
45 O 0.371 0.120 0.394
46 O 0.618 0.633 0.365
47 O 0.373 0.377 0.603
48 O 0.622 0.622 0.608
49 O 0.874 0.378 0.854
50 O 0.623 0.877 0.149
51 O 0.624 0.374 0.647
52 O 0.871 0.119 0.401
53 O 0.630 0.125 0.604
54 O 0.371 0.368 0.851
55 O 0.631 0.880 0.395
56 O 0.371 0.380 0.101
57 O 0.878 0.628 0.889
58 O 0.131 0.381 0.398
59 O 0.381 0.127 0.146
60 O 0.870 0.132 0.899
61 O 0.122 0.877 0.658
62 O 0.363 0.624 0.641
63 O 0.631 0.620 0.864
64 Zr 0.750 0.251 0.500
65 Zr 0.004 0.252 0.254
66 Zr 0.744 0.746 0.501
67 Zr 0.749 0.257 0.001
68 Zr 0.507 0.007 0.005
69 Zr 0.503 0.753 0.252
70 Zr 0.997 0.502 0.999
71 Zr 0.254 0.252 0.002
72 Zr 0.988 0.014 0.011
73 Zr 0.995 0.496 0.500
74 Zr 0.744 0.499 0.752
75 Zr 0.000 0.998 0.502
76 Zr 0.506 0.500 0.002
77 Zr 0.750 0.747 0.002
78 Zr 0.248 0.499 0.251
79 Zr 0.991 0.741 0.738
80 Zr 0.252 0.001 0.249
81 Zr 0.254 0.252 0.498
82 Zr 0.752 0.998 0.253
83 Zr 0.262 0.737 0.011
84 Zr 0.503 0.252 0.251
85 Zr 0.752 0.998 0.750
86 Zr 0.250 0.502 0.750
87 Zr 0.250 0.747 0.500
88 Zr 0.001 0.751 0.247
89 Zr 0.498 0.502 0.501
90 Zr 0.504 0.002 0.500
91 Zr 0.254 0.009 0.739
92 Zr 0.502 0.250 0.750
93 Zr 0.999 0.248 0.751
94 Y 0.493 0.752 0.753
95 Y 0.752 0.502 0.252

***

two:
Crystalline Y2Zr30O63 at its relaxed geometry. Source: the Open Quantum Materials Database, functional PBE-GGA.

Computed properties:
- Space group: P1
- Size of the total moment: 0.000 μB per atom

a b c (Å): 10.264 10.294 10.317
angles (deg): 90.12 90.24 90.23
Fractional positions:
1 O 0.623 0.364 0.139
2 O 0.376 0.635 0.140
3 O 0.620 0.136 0.865
4 O 0.133 0.110 0.605
5 O 0.871 0.376 0.364
6 O 0.368 0.614 0.891
7 O 0.121 0.386 0.389
8 O 0.122 0.635 0.859
9 O 0.625 0.110 0.620
10 O 0.132 0.610 0.608
11 O 0.868 0.612 0.895
12 O 0.625 0.638 0.361
13 O 0.383 0.858 0.365
14 O 0.627 0.115 0.111
15 O 0.362 0.354 0.352
16 O 0.882 0.365 0.867
17 O 0.614 0.389 0.382
18 O 0.634 0.888 0.893
19 O 0.126 0.359 0.639
20 O 0.882 0.868 0.362
21 O 0.378 0.638 0.639
22 O 0.877 0.862 0.860
23 O 0.634 0.614 0.609
24 O 0.619 0.867 0.140
25 O 0.383 0.866 0.863
26 O 0.622 0.636 0.860
27 O 0.875 0.391 0.621
28 O 0.135 0.885 0.395
29 O 0.630 0.616 0.110
30 O 0.124 0.862 0.638
31 O 0.126 0.637 0.358
32 O 0.370 0.107 0.395
33 O 0.373 0.391 0.106
34 O 0.366 0.390 0.601
35 O 0.886 0.135 0.135
36 O 0.869 0.888 0.610
37 O 0.861 0.120 0.882
38 O 0.136 0.394 0.887
39 O 0.123 0.877 0.142
40 O 0.637 0.388 0.893
41 O 0.368 0.605 0.389
42 O 0.125 0.339 0.131
43 O 0.875 0.116 0.383
44 O 0.140 0.882 0.884
45 O 0.124 0.140 0.875
46 O 0.617 0.130 0.358
47 O 0.877 0.638 0.642
48 O 0.382 0.367 0.856
49 O 0.879 0.632 0.142
50 O 0.883 0.130 0.639
51 O 0.370 0.885 0.112
52 O 0.350 0.137 0.139
53 O 0.870 0.387 0.115
54 O 0.618 0.372 0.644
55 O 0.861 0.879 0.117
56 O 0.637 0.888 0.393
57 O 0.127 0.131 0.333
58 O 0.871 0.619 0.393
59 O 0.373 0.141 0.639
60 O 0.369 0.890 0.611
61 O 0.372 0.114 0.888
62 O 0.624 0.863 0.640
63 O 0.132 0.610 0.108
64 Zr 0.505 0.998 0.502
65 Zr 0.990 0.259 0.258
66 Zr 0.249 0.501 0.745
67 Zr 0.746 0.501 0.251
68 Zr 0.751 0.250 0.001
69 Zr 0.503 0.245 0.748
70 Zr 0.496 0.248 0.247
71 Zr 0.262 0.988 0.263
72 Zr 0.504 0.502 0.997
73 Zr 0.997 0.000 0.498
74 Zr 0.502 0.746 0.247
75 Zr 0.503 0.502 0.502
76 Zr 0.502 0.751 0.751
77 Zr 0.251 0.748 0.997
78 Zr 0.751 0.002 0.750
79 Zr 0.250 0.497 0.251
80 Zr 0.000 0.753 0.249
81 Zr 0.752 0.501 0.752
82 Zr 0.252 0.998 0.747
83 Zr 0.250 0.746 0.501
84 Zr 0.752 0.751 0.502
85 Zr 0.249 0.251 0.497
86 Zr 0.003 0.752 0.751
87 Zr 0.999 0.249 0.752
88 Zr 0.751 0.000 0.251
89 Zr 0.262 0.263 0.987
90 Zr 0.751 0.750 0.002
91 Zr 0.995 0.501 0.502
92 Zr 0.998 0.498 0.000
93 Zr 0.501 0.997 0.998
94 Y 0.746 0.252 0.502
95 Y 0.994 0.995 0.994

***

Energy comparison, zero being the most stable, in eV/atom: one 0.000; two 0.006.

***

one:
Crystalline Y2Zr2O5 at its relaxed geometry. Source: the Open Quantum Materials Database, functional PBE-GGA.

Computed properties:
- Space group: P4/mmm
- Size of the total moment: 0.001 μB per atom

a b c (Å): 10.022 3.620 3.620
angles (deg): 90.00 90.00 90.00
Fractional positions:
1 O 0.127 0.000 0.500
2 O 0.873 0.500 0.000
3 O 0.500 0.500 0.500
4 O 0.873 0.000 0.500
5 O 0.127 0.500 0.000
6 Zr 0.500 0.000 0.000
7 Zr 0.000 0.000 0.000
8 Y 0.752 0.500 0.500
9 Y 0.248 0.500 0.500

***

two:
Crystalline Y2Zr2O5 at its relaxed geometry. Source: the Open Quantum Materials Database, functional PBE-GGA.

Computed properties:
- Space group: P4/mmm
- Size of the total moment: 0.000 μB per atom

a b c (Å): 7.401 4.136 4.136
angles (deg): 90.00 90.00 90.00
Fractional positions:
1 Y 0.500 0.000 0.000
2 Y 0.000 0.000 0.000
3 O 0.253 0.500 0.000
4 O 0.747 0.500 0.000
5 O 0.747 0.000 0.500
6 O 0.500 0.500 0.500
7 O 0.253 0.000 0.500
8 Zr 0.783 0.500 0.500
9 Zr 0.217 0.500 0.500

***

Energy comparison, zero being the most stable, in eV/atom: one 0.000; two 0.080.